Entry 1:
DFT (PBE-GGA) results for Sr2LiNiN2 after structural relaxation.

For the uncorrected formation energy, the calculation gives -0.31 eV per atom.

a = 4.241 Å, b = 6.305 Å, c = 7.989 Å
α = 90.00°, β = 90.00°, γ = 90.00°
Positions (direct):
N1 0.000 0.265 0.089
N2 0.000 0.735 0.911
N3 0.500 0.235 0.589
N4 0.500 0.765 0.411
Li1 0.000 0.000 0.500
Li2 0.500 0.500 0.000
Sr1 0.500 0.880 0.746
Sr2 0.500 0.120 0.254
Sr3 0.000 0.620 0.246
Sr4 0.000 0.380 0.754
Ni1 0.000 0.000 0.000
Ni2 0.500 0.500 0.500


Entry 2:
DFT (PBE-GGA) results for Ca6InAg after structural relaxation.

The formation enthalpy at 0 K comes out at -0.192 eV/atom.

a = 5.420 Å, b = 5.420 Å, c = 10.172 Å
α = 74.55°, β = 74.55°, γ = 90.00°
Positions (direct):
Ca1 0.097 0.597 0.805
Ca2 0.403 0.903 0.195
Ca3 0.748 0.748 0.504
Ca4 0.597 0.097 0.805
Ca5 0.903 0.403 0.195
Ca6 0.252 0.252 0.496
In1 0.500 0.500 0.000
Ag1 0.000 0.000 0.000


Entry 3:
DFT (PBE-GGA) results for Pm6Pr2Ga after structural relaxation.

The formation enthalpy at 0 K comes out at 0.027 eV/atom.

a = 3.610 Å, b = 9.585 Å, c = 10.017 Å
α = 118.58°, β = 88.81°, γ = 90.00°
Positions (direct):
Pm1 0.500 0.729 0.000
Pm2 0.006 0.332 0.326
Pm3 0.500 0.271 0.000
Pm4 0.006 0.995 0.326
Pm5 0.994 0.005 0.674
Pm6 0.994 0.668 0.674
Pr1 0.518 0.672 0.344
Pr2 0.482 0.328 0.656
Ga1 0.000 0.000 0.000


Entry 4:
DFT (PBE-GGA) results for Ti2MnW2 after structural relaxation.

The formation enthalpy at 0 K comes out at -0.104 eV/atom.

a = 3.120 Å, b = 3.120 Å, c = 8.053 Å
α = 101.17°, β = 101.17°, γ = 90.00°
Positions (direct):
Ti1 0.408 0.408 0.815
Ti2 0.592 0.592 0.185
Mn1 0.000 0.000 0.000
W1 0.201 0.201 0.403
W2 0.799 0.799 0.597


no.,electronic total energy (eV/atom)
1,-4.930
2,-2.392
3,-4.538
4,-10.277